Entry from the Alexandria database: Sr2Rh after structural relaxation (PBE).

a b c (Å): 5.2845 5.2845 3.3891
angles (deg): 90.00 90.00 120.00
Last column: nearest neighbours and their distance in Å.
Element x y z (fractional)
Sr1 0.3333 0.6667 0.0000  5 Sr 3.05-3.39
Sr2 0.6667 0.3333 0.0000  5 Sr 3.05-3.39
Rh1 0.0000 0.0000 0.5000  2 Rh 3.39, 12 Sr 3.49

Summary:
Its uncorrected energy is -3.220 eV/atom.


Entry from the Alexandria database: Sr5Rh after structural relaxation (PBE).

a b c (Å): 6.9466 6.9466 6.9281
angles (deg): 90.00 90.00 120.00
Last column: nearest neighbours and their distance in Å.
Element x y z (fractional)
Sr1 0.0000 0.5000 0.0000  4 Sr 3.47
Sr2 0.3333 0.6667 0.5000  9 Sr 4.00-4.01, 3 Rh 4.01
Sr3 0.5000 0.0000 0.0000  4 Sr 3.47
Sr4 0.5000 0.5000 0.0000  4 Sr 3.47
Sr5 0.6667 0.3333 0.5000  9 Sr 4.00-4.01, 3 Rh 4.01
Rh1 0.0000 0.0000 0.5000  6 Sr 4.01

Summary:
Its polymorph energy (0 for the lowest one) is 940 meV/atom. Its uncorrected energy is -1.804 eV/atom.


Entry from the Alexandria database: Sr3Rh after structural relaxation (PBE).

a b c (Å): 7.5343 7.5343 7.5343
angles (deg): 150.22 133.97 55.79
Last column: nearest neighbours and their distance in Å.
Element x y z (fractional)
Sr1 0.0000 0.0000 0.0000  4 Rh 3.53, 6 Sr 3.71-3.87
Sr2 0.3306 0.8306 0.5000  2 Rh 2.97
Sr3 0.6694 0.1694 0.5000  2 Rh 2.97
Rh1 0.5000 0.5000 0.0000  4 Sr 2.97

Summary:
Its uncorrected energy is -3.175 eV/atom.